# PBEsol Ta4AgS8, optimized geometry
# Polymorph energy (0 for the lowest one) (meV per atom): 2
# E_form (uncorrected) (eV per formula unit): -13.4
# Raw total energy (eV per atom): -7.848
data_Ta4AgS8
_symmetry_space_group_name_H-M 'P 1 m 1'
_symmetry_Int_Tables_number 6
_cell_length_a 5.739
_cell_length_b 3.312
_cell_length_c 13.163
_cell_angle_alpha 90.00
_cell_angle_beta 98.25
_cell_angle_gamma 90.00
loop_
_symmetry_equiv_pos_as_xyz
'x,y,z'
'x,-y,z'
loop_
_atom_site_label
_atom_site_type_symbol
_atom_site_fract_x
_atom_site_fract_y
_atom_site_fract_z
Ta1 Ta 0.000 0.000 0.000
Ta2 Ta 0.146 0.000 0.454
Ta3 Ta 0.475 0.500 0.999
Ta4 Ta 0.628 0.500 0.455
Ag1 Ag 0.712 0.500 0.702
S1 S 0.264 0.500 0.334
S2 S 0.282 0.000 0.877
S3 S 0.334 0.500 0.577
S4 S 0.363 0.000 0.120
S5 S 0.767 0.000 0.339
S6 S 0.781 0.500 0.883
S7 S 0.851 0.000 0.573
S8 S 0.855 0.500 0.114